Record 1
Entry from Alexandria: crystalline LaCoTe2 at its relaxed geometry (PBEsol).

Lattice parameters (Å, degrees): 4.121 4.121 7.170 73.30 73.30 60.00
Fractional positions:
Te1 0.019 0.019 0.943
Te2 0.811 0.811 0.566
Co1 0.421 0.421 0.738
La1 0.249 0.249 0.253

Results
E	-5.6795	eV per atom



Record 2
Entry from Alexandria: crystalline BeAg2Au at its relaxed geometry (PBEsol).

Lattice parameters (Å, degrees): 2.890 2.890 6.972 90.00 90.00 90.00
Fractional positions:
Au1 0.000 0.000 0.549
Ag1 0.500 0.500 0.251
Ag2 0.000 0.000 0.961
Be1 0.500 0.500 0.739

Results
ΔH_f (0 K)	-0.07	eV/atom



Record 3
Entry from Alexandria: crystalline HgOs2Ru at its relaxed geometry (PBEsol).

Lattice parameters (Å, degrees): 2.736 4.567 5.661 113.79 103.98 90.00
Fractional positions:
Ru1 0.500 0.000 0.000
Os1 0.780 0.780 0.559
Os2 0.220 0.220 0.441
Hg1 0.000 0.500 0.000

Results
ΔH_f (0 K)	0.71	eV/atom



Record order is preserved below.
Total magnetic moment: 0.4808 0.0000 0.0001 μB per atom